# 1
# TbHoLuRu

A relaxed structure of TbHoLuRu (GGA-PBE, the Alexandria database).

It has space group F-43m (No. 216), with a = 7.249 Å, b = 7.249 Å, c = 7.249 Å, α = 90.00°, β = 90.00° and γ = 90.00°. The asymmetric unit holds Tb at (0.000, 0.000, 0.000), Ho at (0.000, 0.000, 0.500), Lu at (0.250, 0.250, 0.750) and Ru at (0.250, 0.250, 0.250).

The density comes out at 10.46 g cm⁻³. The total energy comes out at -22.80 eV/f.u. The calculation puts the energy of formation from the pure elements at 51 meV/atom.

***

# 2
# HoLuTlRu

A relaxed structure of HoLuTlRu (GGA-PBE, the Alexandria database).

It has space group F-43m (No. 216), with a = 7.099 Å, b = 7.099 Å, c = 7.099 Å, α = 90.00°, β = 90.00° and γ = 90.00°. The asymmetric unit holds Ho at (0.000, 0.000, 0.000), Lu at (0.000, 0.000, 0.500), Tl at (0.250, 0.250, 0.750) and Ru at (0.250, 0.250, 0.250).

The density comes out at 11.98 g cm⁻³. The total energy comes out at -21.83 eV/f.u. The calculation puts the energy of formation from the pure elements at -273 meV/atom.

***

# 3
# HoTmLuRu

A relaxed structure of HoTmLuRu (GGA-PBE, the Alexandria database).

It has space group F-43m (No. 216), with a = 7.198 Å, b = 7.198 Å, c = 7.198 Å, α = 90.00°, β = 90.00° and γ = 90.00°. The asymmetric unit holds Ho at (0.000, 0.000, 0.000), Tm at (0.000, 0.000, 0.500), Lu at (0.250, 0.250, 0.750) and Ru at (0.250, 0.250, 0.250).

The density comes out at 10.86 g cm⁻³. The total energy comes out at -22.76 eV/f.u. The calculation puts the energy of formation from the pure elements at 22 meV/atom.

***

# 4
# HoLuZnRu

A relaxed structure of HoLuZnRu (GGA-PBE, the Alexandria database).

It has space group F-43m (No. 216), with a = 6.861 Å, b = 6.861 Å, c = 6.861 Å, α = 90.00°, β = 90.00° and γ = 90.00°. The asymmetric unit holds Ho at (0.000, 0.000, 0.000), Lu at (0.000, 0.000, 0.500), Zn at (0.250, 0.250, 0.250) and Ru at (0.250, 0.250, 0.750).

The density comes out at 10.41 g cm⁻³. The total energy comes out at -21.26 eV/f.u. The calculation puts the energy of formation from the pure elements at -403 meV/atom.

***

# 5
# HoLuS2

A relaxed structure of HoLuS2 (GGA-PBE, the Alexandria database).

It has space group R-3m (No. 166, hexagonal axes), with a = 3.8444 Å, b = 3.8444 Å, c = 18.8430 Å, α = 90.00°, β = 90.00° and γ = 120.00°. The asymmetric unit holds Ho at (0.0000, 0.0000, 0.0000), Lu at (0.0000, 0.0000, 0.5000) and S at (0.0000, 0.0000, 0.2474).

The formation energy without anion corrections comes out at -1926.9 meV per atom. The density comes out at 8.35 g cm⁻³. The total energy comes out at -25.06 eV/f.u.

***

# 6
# HoLu3S

A relaxed structure of HoLu3S (GGA-PBE, the Alexandria database).

It has space group Pm-3m (No. 221), with a = 5.189 Å, b = 5.189 Å, c = 5.189 Å, α = 90.00°, β = 90.00° and γ = 90.00°. The asymmetric unit holds Ho at (0.000, 0.000, 0.000), Lu at (0.000, 0.500, 0.500) and S at (0.500, 0.500, 0.500).

The formation energy without anion corrections comes out at -581.2 meV per atom. The density comes out at 8.58 g cm⁻³. The total energy comes out at -25.17 eV/f.u.

***

# 7
# HoLuSb2

A relaxed structure of HoLuSb2 (GGA-PBE, the Alexandria database).

It has space group R-3m (No. 166, hexagonal axes), with a = 4.3405 Å, b = 4.3405 Å, c = 21.2448 Å, α = 90.00°, β = 90.00° and γ = 120.00°. The asymmetric unit holds Ho at (0.0000, 0.0000, 0.0000), Lu at (0.0000, 0.0000, 0.5000) and Sb at (0.0000, 0.0000, 0.2486).

The formation energy without anion corrections comes out at -1065.9 meV per atom. The density comes out at 8.38 g cm⁻³. The total energy comes out at -21.61 eV/f.u.

***

# 8
# HoLu2Sb

A relaxed structure of HoLu2Sb (GGA-PBE, the Alexandria database).

It has space group P4/mmm (No. 123), with a = 4.717 Å, b = 4.717 Å, c = 4.712 Å, α = 90.00°, β = 90.00° and γ = 90.00°. The asymmetric unit holds Ho at (0.000, 0.000, 0.000), Lu at (0.000, 0.500, 0.500) and Sb at (0.500, 0.500, 0.000).

The energy above the most stable polymorph in this dataset comes out at 12 meV per atom. The formation energy without anion corrections comes out at -419.3 meV per atom. The density comes out at 10.08 g cm⁻³. The total energy comes out at -19.42 eV/f.u.

***

Values of total magnetic moment, in order: 0.00; 0.00; 0.00; 0.00; 0.00; 1.83; 0.00; 0.00, all in Bohr magnetons per cell.